Record 1
Below is a relaxed V2TcB crystal, with properties calculated at the PBE level.

E_tot: -8.68 eV per atom
Crystal system: tetragonal
Energy of formation from the pure elements: 0.14 eV per atom
E above lowest polymorph: 324 meV/atom
Space-group type: No. 122

Unit cell a=6.866 b=6.866 c=5.319 alpha=49.80 beta=49.80 gamma=90.00
Sites, in units of the cell vectors:
V 0.224 0.625 0.250
V 0.526 0.125 0.250
V 0.875 0.776 0.750
V 0.375 0.474 0.750
B 0.500 0.500 0.000
B 0.250 0.750 0.500
Tc 0.000 0.000 0.000
Tc 0.750 0.250 0.500



Record 2
Below is a relaxed VTc6B4 crystal, with properties calculated at the PBE level.

E_tot: -9.15 eV per atom
Crystal system: tetragonal
Energy of formation from the pure elements: -0.23 eV per atom
Space-group type: No. 121

Unit cell a=5.636 b=5.636 c=5.636 alpha=88.88 beta=120.65 gamma=120.65
Sites, in units of the cell vectors:
Tc 0.500 0.500 0.000
Tc 0.000 0.919 0.550
Tc 0.369 0.450 0.450
Tc 0.631 0.081 0.081
Tc 0.000 0.550 0.919
Tc 0.500 0.000 0.500
B 0.000 0.300 0.589
B 0.288 0.700 0.700
B 0.712 0.411 0.411
B 0.000 0.589 0.300
V 0.000 0.000 0.000



Record 3
Below is a relaxed V2TcB6 crystal, with properties calculated at the PBE level.

E_tot: -8.13 eV per atom
Crystal system: hexagonal
Energy of formation from the pure elements: -0.50 eV per atom
Space-group type: No. 191

Unit cell a=3.154 b=5.189 c=5.189 alpha=120.00 beta=90.00 gamma=90.00
Site moments in Bohr magnetons follow the coordinates.
Sites, in units of the cell vectors:
B 0.500 0.000 0.664  0.00
B 0.500 0.336 0.000  0.00
B 0.500 0.664 0.664  0.00
B 0.500 0.336 0.336  0.00
B 0.500 0.664 0.000  0.00
B 0.500 0.000 0.336  0.00
V 0.000 0.667 0.333  -0.02
V 0.000 0.333 0.667  -0.02
Tc 0.000 0.000 0.000  0.16



Record 4
Below is a relaxed VTc3B crystal, with properties calculated at the PBE level.

E_tot: -9.58 eV per atom
Crystal system: monoclinic
Energy of formation from the pure elements: -0.20 eV per atom
E above lowest polymorph: 0 meV/atom
Space-group type: No. 11

Unit cell a=2.928 b=6.947 c=6.316 alpha=98.93 beta=90.00 gamma=90.00
Sites, in units of the cell vectors:
V 0.750 0.325 0.485
V 0.250 0.675 0.515
B 0.750 0.261 0.872
B 0.250 0.739 0.128
Tc 0.750 0.840 0.890
Tc 0.750 0.922 0.331
Tc 0.250 0.078 0.669
Tc 0.750 0.507 0.186
Tc 0.250 0.493 0.814
Tc 0.250 0.160 0.110



Record 5
Below is a relaxed V4TcB2 crystal, with properties calculated at the PBE level.

E_tot: -7.64 eV per atom
Crystal system: tetragonal
Energy of formation from the pure elements: 0.96 eV per atom
Space-group type: No. 139

Unit cell a=4.458 b=4.458 c=6.069 alpha=68.45 beta=68.45 gamma=90.00
Sites, in units of the cell vectors:
V 0.235 0.235 0.531
V 0.500 0.000 0.000
V 0.765 0.765 0.469
V 0.000 0.500 0.000
B 0.577 0.577 0.847
B 0.423 0.423 0.153
Tc 0.000 0.000 0.000



Record 6
Below is a relaxed V2TcB crystal, with properties calculated at the PBE level.

E_tot: -8.70 eV per atom
Crystal system: cubic
Energy of formation from the pure elements: 0.12 eV per atom
E above lowest polymorph: 306 meV/atom
Space-group type: No. 225

Unit cell a=4.072 b=4.072 c=4.072 alpha=60.00 beta=60.00 gamma=60.00
Sites, in units of the cell vectors:
V 0.250 0.250 0.250
V 0.750 0.750 0.750
Tc 0.500 0.500 0.500
B 0.000 0.000 0.000



Record 7
Below is a relaxed VTc3B crystal, with properties calculated at the PBE level.

E_tot: -7.30 eV per atom
Crystal system: cubic
Energy of formation from the pure elements: 2.08 eV per atom
E above lowest polymorph: 2280 meV/atom
Space-group type: No. 221

Unit cell a=4.427 b=4.427 c=4.427 alpha=90.00 beta=90.00 gamma=90.00
Site moments in Bohr magnetons follow the coordinates.
Sites, in units of the cell vectors:
B 0.500 0.500 0.500  -0.01
Tc 0.000 0.000 0.500  0.81
Tc 0.000 0.500 0.000  0.81
Tc 0.500 0.000 0.000  0.81
V 0.000 0.000 0.000  -0.15



Record 8
Below is a relaxed VTc5B2W2 crystal, with properties calculated at the PBE level.

E_tot: -10.26 eV per atom
Crystal system: tetragonal
Energy of formation from the pure elements: -0.24 eV per atom
Space-group type: No. 127

Unit cell a=3.010 b=9.288 c=9.288 alpha=90.00 beta=90.00 gamma=90.00
Sites, in units of the cell vectors:
V 0.000 0.000 0.000
V 0.000 0.500 0.500
Tc 0.500 0.788 0.932
Tc 0.500 0.432 0.288
Tc 0.500 0.500 0.000
Tc 0.500 0.068 0.788
Tc 0.500 0.932 0.212
Tc 0.500 0.212 0.068
Tc 0.500 0.288 0.568
Tc 0.500 0.000 0.500
Tc 0.500 0.712 0.432
Tc 0.500 0.568 0.712
B 0.000 0.875 0.375
B 0.000 0.375 0.125
B 0.000 0.625 0.875
B 0.000 0.125 0.625
W 0.000 0.178 0.322
W 0.000 0.822 0.678
W 0.000 0.678 0.178
W 0.000 0.322 0.822



Record 9
Below is a relaxed TcBW2 crystal, with properties calculated at the PBE level.

E_tot: -10.81 eV per atom
Crystal system: monoclinic
Energy of formation from the pure elements: -0.07 eV per atom
Space-group type: No. 11

Unit cell a=2.989 b=5.568 c=6.556 alpha=101.74 beta=90.00 gamma=90.00
Sites, in units of the cell vectors:
W 0.750 0.609 0.872
W 0.750 0.248 0.463
W 0.250 0.752 0.537
W 0.250 0.391 0.128
B 0.250 0.312 0.728
B 0.750 0.688 0.272
Tc 0.250 0.926 0.158
Tc 0.750 0.074 0.842



Record 10
Below is a relaxed Tc3BW crystal, with properties calculated at the PBE level.

E_tot: -10.08 eV per atom
Crystal system: cubic
Energy of formation from the pure elements: 0.06 eV per atom
E above lowest polymorph: 99 meV/atom
Space-group type: No. 221

Unit cell a=4.093 b=4.093 c=4.093 alpha=90.00 beta=90.00 gamma=90.00
Sites, in units of the cell vectors:
W 0.500 0.500 0.500
Tc 0.500 0.000 0.000
Tc 0.000 0.000 0.500
Tc 0.000 0.500 0.000
B 0.000 0.000 0.000



Record 11
Below is a relaxed Tc2BW crystal, with properties calculated at the PBE level.

E_tot: -10.36 eV per atom
Crystal system: orthorhombic
Energy of formation from the pure elements: -0.27 eV per atom
Space-group type: No. 62

Unit cell a=4.883 b=5.615 c=7.409 alpha=90.00 beta=90.00 gamma=90.00
Sites, in units of the cell vectors:
W 0.854 0.525 0.563
W 0.354 0.975 0.063
W 0.146 0.475 0.063
W 0.646 0.025 0.563
B 0.414 0.385 0.563
B 0.086 0.885 0.563
B 0.586 0.615 0.063
B 0.914 0.115 0.063
Tc 0.656 0.320 0.871
Tc 0.156 0.180 0.371
Tc 0.656 0.320 0.255
Tc 0.156 0.180 0.755
Tc 0.344 0.680 0.371
Tc 0.844 0.820 0.871
Tc 0.344 0.680 0.755
Tc 0.844 0.820 0.255



Record 12
Below is a relaxed TcBW crystal, with properties calculated at the PBE level.

E_tot: -10.21 eV per atom
Crystal system: monoclinic
Energy of formation from the pure elements: -0.21 eV per atom
E above lowest polymorph: 0 meV/atom
Space-group type: No. 12

Unit cell a=2.995 b=5.330 c=5.390 alpha=116.25 beta=106.13 gamma=90.00
Sites, in units of the cell vectors:
Tc 0.015 0.270 0.030
Tc 0.985 0.730 0.970
W 0.714 0.731 0.429
W 0.286 0.269 0.571
B 0.601 0.065 0.202
B 0.399 0.935 0.798



Record 13
Below is a relaxed Tc6B4W crystal, with properties calculated at the PBE level.

E_tot: -9.44 eV per atom
Crystal system: tetragonal
Energy of formation from the pure elements: -0.18 eV per atom
Space-group type: No. 121

Unit cell a=5.683 b=5.683 c=5.683 alpha=88.15 beta=121.08 gamma=121.08
Sites, in units of the cell vectors:
Tc 0.374 0.455 0.455
Tc 0.000 0.545 0.920
Tc 0.626 0.080 0.080
Tc 0.500 0.500 0.000
Tc 0.000 0.920 0.545
Tc 0.500 0.000 0.500
B 0.000 0.300 0.588
B 0.288 0.700 0.700
B 0.000 0.588 0.300
B 0.712 0.412 0.412
W 0.000 0.000 0.000



Record 14
Below is a relaxed Tc4B2W crystal, with properties calculated at the PBE level.

E_tot: -9.84 eV per atom
Crystal system: triclinic
Energy of formation from the pure elements: -0.16 eV per atom
E above lowest polymorph: 0 meV/atom
Space-group type: No. 2

Unit cell a=6.090 b=5.913 c=5.344 alpha=108.26 beta=82.57 gamma=79.80
Sites, in units of the cell vectors:
B 0.283 0.587 0.551
B 0.717 0.413 0.449
B 0.824 0.798 0.037
B 0.176 0.202 0.963
Tc 0.598 0.798 0.739
Tc 0.402 0.202 0.261
Tc 0.979 0.437 0.732
Tc 0.797 0.035 0.456
Tc 0.203 0.965 0.544
Tc 0.422 0.360 0.793
Tc 0.578 0.640 0.207
Tc 0.021 0.563 0.268
W 0.808 0.165 0.983
W 0.192 0.835 0.017



Record 15
Below is a relaxed Tc3B4W3 crystal, with properties calculated at the PBE level.

E_tot: -9.87 eV per atom
Crystal system: orthorhombic
Energy of formation from the pure elements: -0.20 eV per atom
Space-group type: No. 38

Unit cell a=2.994 b=6.169 c=6.169 alpha=90.76 beta=90.00 gamma=90.00
Sites, in units of the cell vectors:
Tc 0.500 0.655 0.661
Tc 0.500 0.849 0.151
Tc 0.500 0.339 0.345
B 0.000 0.866 0.866
B 0.000 0.368 0.632
B 0.000 0.134 0.134
B 0.000 0.632 0.368
W 0.500 0.162 0.838
W 0.000 0.499 0.005
W 0.000 0.995 0.501



Record 16
Below is a relaxed Tc2BW crystal, with properties calculated at the PBE level.

E_tot: -10.37 eV per atom
Crystal system: orthorhombic
Energy of formation from the pure elements: -0.28 eV per atom
Space-group type: No. 63

Unit cell a=3.006 b=4.861 c=7.281 alpha=90.00 beta=90.00 gamma=108.03
Sites, in units of the cell vectors:
Tc 0.639 0.278 0.055
Tc 0.361 0.722 0.555
Tc 0.361 0.722 0.945
Tc 0.639 0.278 0.445
B 0.235 0.469 0.250
B 0.765 0.531 0.750
W 0.069 0.141 0.750
W 0.931 0.859 0.250



Record 17
Below is a relaxed Tc3BW crystal, with properties calculated at the PBE level.

E_tot: -7.51 eV per atom
Crystal system: cubic
Energy of formation from the pure elements: 2.64 eV per atom
E above lowest polymorph: 2672 meV/atom
Space-group type: No. 221

Unit cell a=4.702 b=4.702 c=4.702 alpha=90.00 beta=90.00 gamma=90.00
Site moments in Bohr magnetons follow the coordinates.
Sites, in units of the cell vectors:
Tc 0.000 0.000 0.500  1.08
Tc 0.000 0.500 0.000  0.95
Tc 0.500 0.000 0.000  0.91
B 0.500 0.500 0.500  -0.04
W 0.000 0.000 0.000  -0.18



Record 18
Below is a relaxed Tc10B3W crystal, with properties calculated at the PBE level.

E_tot: -9.94 eV per atom
Crystal system: cubic
Energy of formation from the pure elements: -0.18 eV per atom
Space-group type: No. 225

Unit cell a=8.066 b=8.066 c=8.066 alpha=60.00 beta=60.00 gamma=60.00
Sites, in units of the cell vectors:
Tc 0.000 0.337 0.663
Tc 0.000 0.663 0.337
Tc 0.857 0.381 0.381
Tc 0.619 0.619 0.619
Tc 0.337 0.000 0.000
Tc 0.000 0.000 0.337
Tc 0.000 0.663 0.000
Tc 0.619 0.619 0.143
Tc 0.663 0.000 0.337
Tc 0.337 0.663 0.000
Tc 0.381 0.857 0.381
Tc 0.619 0.143 0.619
Tc 0.337 0.000 0.663
Tc 0.000 0.337 0.000
Tc 0.000 0.000 0.663
Tc 0.663 0.337 0.000
Tc 0.381 0.381 0.857
Tc 0.663 0.000 0.000
Tc 0.381 0.381 0.381
Tc 0.143 0.619 0.619
B 0.723 0.723 0.277
B 0.723 0.277 0.723
B 0.277 0.277 0.723
B 0.277 0.723 0.723
B 0.277 0.723 0.277
B 0.723 0.277 0.277
W 0.250 0.250 0.250
W 0.750 0.750 0.750



Record 19
Below is a relaxed TcBW2 crystal, with properties calculated at the PBE level.

E_tot: -10.41 eV per atom
Crystal system: tetragonal
Energy of formation from the pure elements: 0.33 eV per atom
Space-group type: No. 122

Unit cell a=7.215 b=7.215 c=5.566 alpha=49.60 beta=49.60 gamma=90.00
Sites, in units of the cell vectors:
B 0.500 0.500 0.000
B 0.250 0.750 0.500
W 0.229 0.625 0.250
W 0.521 0.125 0.250
W 0.375 0.479 0.750
W 0.875 0.771 0.750
Tc 0.750 0.250 0.500
Tc 0.000 0.000 0.000



Record 20
Below is a relaxed TcB3W crystal, with properties calculated at the PBE level.

E_tot: -8.91 eV per atom
Crystal system: orthorhombic
Energy of formation from the pure elements: -0.24 eV per atom
E above lowest polymorph: 0 meV/atom
Space-group type: No. 63

Unit cell a=3.012 b=3.345 c=9.459 alpha=100.19 beta=90.00 gamma=90.00
Sites, in units of the cell vectors:
B 0.750 0.323 0.647
B 0.250 0.677 0.353
B 0.250 0.476 0.952
B 0.750 0.621 0.243
B 0.750 0.524 0.048
B 0.250 0.379 0.757
Tc 0.750 0.198 0.397
Tc 0.250 0.802 0.603
W 0.750 0.928 0.856
W 0.250 0.072 0.144



Record 21
Below is a relaxed Tc12B6W crystal, with properties calculated at the PBE level.

E_tot: -9.62 eV per atom
Crystal system: cubic
Energy of formation from the pure elements: -0.28 eV per atom
Space-group type: No. 204

Unit cell a=6.653 b=6.653 c=6.653 alpha=109.47 beta=109.47 gamma=109.47
Sites, in units of the cell vectors:
Tc 0.491 0.187 0.304
Tc 0.304 0.491 0.187
Tc 0.304 0.116 0.813
Tc 0.813 0.696 0.509
Tc 0.509 0.813 0.696
Tc 0.696 0.509 0.813
Tc 0.813 0.304 0.116
Tc 0.187 0.696 0.884
Tc 0.116 0.813 0.304
Tc 0.884 0.187 0.696
Tc 0.696 0.884 0.187
Tc 0.187 0.304 0.491
B 0.886 0.386 0.500
B 0.614 0.500 0.114
B 0.500 0.886 0.386
B 0.386 0.500 0.886
B 0.114 0.614 0.500
B 0.500 0.114 0.614
W 0.000 0.000 0.000



Record 22
Below is a relaxed Tc2B2W crystal, with properties calculated at the PBE level.

E_tot: -9.68 eV per atom
Crystal system: monoclinic
Energy of formation from the pure elements: -0.27 eV per atom
E above lowest polymorph: 0 meV/atom
Space-group type: No. 11

Unit cell a=3.040 b=4.449 c=9.222 alpha=112.35 beta=90.00 gamma=90.00
Sites, in units of the cell vectors:
B 0.750 0.188 0.368
B 0.250 0.812 0.632
B 0.750 0.626 0.019
B 0.250 0.374 0.981
W 0.750 0.190 0.780
W 0.250 0.810 0.220
Tc 0.750 0.219 0.126
Tc 0.250 0.277 0.552
Tc 0.250 0.781 0.874
Tc 0.750 0.723 0.448